1.
The following is a DFT calculation (PBE-GGA) of a relaxed CuRuNO2 crystal.

- mass density (Mg/m³) = 6.6
- E (eV/atom) = -5.360
- volume (A^3/atom) = 10.54
- space group = P4/mmm (123)
- raw formation energy (meV/atom) = 962

Cell: 3.7255 3.7255 3.7957 Å, 90.00 90.00 90.00°
Fractional coordinates of all 5 atoms:
Cu (0.0000, 0.0000, 0.0000)
Ru (0.5000, 0.5000, 0.5000)
N (0.0000, 0.0000, 0.5000)
O (0.0000, 0.5000, 0.0000)
O (0.5000, 0.0000, 0.0000)

***

2.
The following is a DFT calculation (PBE-GGA) of a relaxed Dy7NiPb4 crystal.

- mass density (Mg/m³) = 9.1
- E (eV/atom) = -4.613
- volume (A^3/atom) = 30.80
- space group = C2/m (12)

Cell: 8.3872 8.3872 11.3231 Å, 126.35 126.35 36.42°
Fractional coordinates of all 12 atoms:
Dy (0.0000, 0.0000, 0.0000)
Dy (0.1411, 0.1411, 0.5576)
Dy (0.2821, 0.2821, 0.1364)
Dy (0.4286, 0.4286, 0.7217)
Dy (0.5714, 0.5714, 0.2783)
Dy (0.7179, 0.7179, 0.8636)
Dy (0.8589, 0.8589, 0.4424)
Ni (0.5000, 0.5000, 0.0000)
Pb (0.0807, 0.0807, 0.7805)
Pb (0.2217, 0.2217, 0.3471)
Pb (0.7783, 0.7783, 0.6529)
Pb (0.9193, 0.9193, 0.2195)

***

3.
The following is a DFT calculation (PBE-GGA) of a relaxed HgRu2Pt crystal.

- mass density (Mg/m³) = 15.5
- E (eV/atom) = -5.834
- volume (A^3/atom) = 15.97
- space group = P4/mmm (123)

Cell: 2.8319 2.8319 7.9655 Å, 90.00 90.00 90.00°
Fractional coordinates of all 4 atoms:
Hg (0.0000, 0.0000, 0.0000)
Ru (0.5000, 0.5000, 0.2691)
Ru (0.5000, 0.5000, 0.7309)
Pt (0.0000, 0.0000, 0.5000)

***

4.
The following is a DFT calculation (PBE-GGA) of a relaxed CsNaCd2Hg4 crystal.

- mass density (Mg/m³) = 7.8
- E (eV/atom) = -0.819
- volume (A^3/atom) = 31.42
- space group = R-3m (166)

Cell: 11.2945 11.2945 11.2945 Å, 26.42 26.42 26.42°
Fractional coordinates of all 8 atoms:
Cs (0.0000, 0.0000, 0.0000)
Na (0.5000, 0.5000, 0.5000)
Cd (0.2246, 0.2246, 0.2246)
Cd (0.7754, 0.7754, 0.7754)
Hg (0.1268, 0.1268, 0.1268)
Hg (0.4050, 0.4050, 0.4050)
Hg (0.5950, 0.5950, 0.5950)
Hg (0.8732, 0.8732, 0.8732)

***

5.
The following is a DFT calculation (PBE-GGA) of a relaxed Ho2Mn2BC2 crystal.

- mass density (Mg/m³) = 8.7
- E (eV/atom) = -7.732
- volume (A^3/atom) = 12.99
- space group = C2/m (12)

Cell: 5.3764 5.3764 6.2270 Å, 121.60 121.60 37.32°
Fractional coordinates of all 7 atoms:
Ho (0.0756, 0.0756, 0.3385)
Ho (0.9244, 0.9244, 0.6615)
Mn (0.2920, 0.2920, 0.9121)
Mn (0.7080, 0.7080, 0.0879)
B (0.5000, 0.5000, 0.0000)
C (0.3075, 0.3075, 0.2465)
C (0.6925, 0.6925, 0.7535)

***

6.
The following is a DFT calculation (PBE-GGA) of a relaxed Ho6Hg3Pt crystal.

- mass density (Mg/m³) = 11.2
- E (eV/atom) = -3.956
- volume (A^3/atom) = 26.44
- space group = Pnnm (58)

Cell: 8.8638 11.7268 5.0880 Å, 90.00 90.00 90.00°
Fractional coordinates of all 20 atoms:
Ho (0.0079, 0.2425, 0.0000)
Ho (0.1561, 0.0850, 0.5000)
Ho (0.1853, 0.4121, 0.5000)
Ho (0.3147, 0.9121, 0.0000)
Ho (0.3439, 0.5850, 0.0000)
Ho (0.4921, 0.7425, 0.5000)
Ho (0.5079, 0.2575, 0.5000)
Ho (0.6561, 0.4150, 0.0000)
Ho (0.6853, 0.0879, 0.0000)
Ho (0.8147, 0.5879, 0.5000)
Ho (0.8439, 0.9150, 0.5000)
Ho (0.9921, 0.7575, 0.0000)
Hg (0.0000, 0.5000, 0.0000)
Hg (0.1577, 0.7233, 0.5000)
Hg (0.3423, 0.2233, 0.0000)
Hg (0.5000, 0.0000, 0.5000)
Hg (0.6577, 0.7767, 0.0000)
Hg (0.8423, 0.2767, 0.5000)
Pt (0.0000, 0.0000, 0.0000)
Pt (0.5000, 0.5000, 0.5000)